P:
CrMoIr | PBEsol | optimized geometry

Unit cell a=2.676 b=2.676 c=6.643 alpha=90.00 beta=90.00 gamma=120.00
Positions (direct):
Cr 0.000 0.000 0.000
Mo 0.667 0.333 0.341
Ir 0.333 0.667 0.694



Q:
CrMoIr | PBEsol | optimized geometry

Unit cell a=4.154 b=4.154 c=4.154 alpha=60.00 beta=60.00 gamma=60.00
Positions (direct):
Cr 0.000 0.000 0.000
Mo 0.500 0.500 0.500
Ir 0.750 0.750 0.750



Quick one: most stable of them? P



P:
Cr2IrOs | PBEsol | optimized geometry

Unit cell a=4.503 b=4.503 c=4.503 alpha=130.92 beta=130.92 gamma=71.94
Positions (direct):
Cr 0.250 0.750 0.500
Cr 0.750 0.250 0.500
Ir 0.000 0.000 0.000
Os 0.500 0.500 0.000



Q:
Cr2IrOs | PBEsol | optimized geometry

Unit cell a=3.956 b=5.008 c=5.008 alpha=30.71 beta=90.00 gamma=90.00
Positions (direct):
Cr 0.000 0.000 0.000
Cr 0.500 0.123 0.123
Ir 0.500 0.389 0.389
Os 0.000 0.733 0.733



Quick one: most stable of them? P



P:
Cr2IrOs | PBEsol | optimized geometry

Unit cell a=4.507 b=4.507 c=2.641 alpha=90.00 beta=90.00 gamma=108.02
Positions (direct):
Cr 0.000 0.500 0.000
Cr 0.500 0.000 0.000
Ir 0.000 0.000 0.500
Os 0.500 0.500 0.500



Q:
Cr2IrOs | PBEsol | optimized geometry

Unit cell a=3.739 b=3.739 c=3.645 alpha=90.00 beta=90.00 gamma=90.00
Positions (direct):
Cr 0.000 0.500 0.000
Cr 0.500 0.000 0.000
Ir 0.000 0.000 0.500
Os 0.500 0.500 0.500



Quick one: most stable of them? Q



P:
CrIr2Os | PBEsol | optimized geometry

Unit cell a=3.770 b=3.770 c=3.780 alpha=90.00 beta=90.00 gamma=90.00
Positions (direct):
Cr 0.000 0.000 0.000
Ir 0.000 0.500 0.500
Ir 0.500 0.000 0.500
Os 0.500 0.500 0.000



Q:
CrIr2Os | PBEsol | optimized geometry

Unit cell a=4.622 b=4.622 c=2.679 alpha=90.00 beta=90.00 gamma=109.51
Positions (direct):
Cr 0.000 0.000 0.000
Ir 0.000 0.500 0.500
Ir 0.500 0.000 0.500
Os 0.500 0.500 0.000



R:
CrIr2Os | PBEsol | optimized geometry

Unit cell a=2.676 b=3.768 c=5.331 alpha=90.00 beta=90.00 gamma=90.00
Positions (direct):
Cr 0.000 0.000 0.000
Ir 0.500 0.500 0.245
Ir 0.500 0.500 0.755
Os 0.000 0.000 0.500



Quick one: most stable of them? P



P:
CrIr2Ru | PBEsol | optimized geometry

Unit cell a=2.660 b=2.660 c=7.452 alpha=90.00 beta=90.00 gamma=90.00
Positions (direct):
Cr 0.000 0.000 0.000
Ir 0.500 0.500 0.241
Ir 0.500 0.500 0.759
Ru 0.000 0.000 0.500



Q:
CrIr2Ru | PBEsol | optimized geometry

Unit cell a=4.600 b=4.600 c=4.600 alpha=131.81 beta=131.81 gamma=70.53
Positions (direct):
Cr 0.000 0.000 0.000
Ir 0.250 0.750 0.500
Ir 0.750 0.250 0.500
Ru 0.500 0.500 0.000



Quick one: most stable of them? Q



P:
CrIr2Ru | PBEsol | optimized geometry

Unit cell a=2.663 b=3.734 c=5.326 alpha=90.00 beta=90.00 gamma=90.00
Positions (direct):
Cr 0.000 0.000 0.000
Ir 0.500 0.500 0.245
Ir 0.500 0.500 0.755
Ru 0.000 0.000 0.500



Q:
CrIr2Ru | PBEsol | optimized geometry

Unit cell a=4.592 b=4.592 c=4.592 alpha=131.64 beta=131.64 gamma=70.79
Positions (direct):
Cr 0.000 0.000 0.000
Ir 0.500 0.500 0.000
Ir 0.750 0.250 0.500
Ru 0.250 0.750 0.500



R:
CrIr2Ru | PBEsol | optimized geometry

Unit cell a=4.590 b=4.590 c=2.671 alpha=90.00 beta=90.00 gamma=109.22
Positions (direct):
Cr 0.000 0.000 0.000
Ir 0.000 0.500 0.500
Ir 0.500 0.000 0.500
Ru 0.500 0.500 0.000



S:
CrIr2Ru | PBEsol | optimized geometry

Unit cell a=2.676 b=4.232 c=4.648 alpha=90.00 beta=90.00 gamma=90.00
Positions (direct):
Cr 0.000 0.000 0.000
Ir 0.500 0.000 0.486
Ir 0.500 0.500 0.831
Ru 0.000 0.500 0.320



Quick one: most stable of them? S